VASP calculation (PBE) on an optimized crystal structure of Er4ThSc2.

Crystal system: orthorhombic
Energy of formation: 0.181 eV/atom
Energy above the most stable polymorph in this dataset: 0.0208 eV/atom

Lattice parameters (Å, degrees): 15.553 15.618 3.466 90.00 90.00 90.00
Space group Cmme (No. 67)
Inequivalent atoms, fractional coordinates:
Er: 0.141 0.109 0.001
Th: 0.000 0.250 0.502
Sc: 0.000 0.000 0.500
Sc: 0.250 0.250 0.500